Density functional theory data (PBE) for an optimized crystal structure of CsZrS2.

```
CsZrS2
1.0
-3.0299 3.7784 6.3098
3.0299 -3.7784 6.3098
3.0299 3.7784 -6.3098
Cs Zr S
2 2 4
Cartesian
0.0000 0.0000 2.1889
0.0000 0.0000 10.4307
1.5180 3.7784 0.0000
1.5119 0.0000 6.3098
3.0299 1.8046 0.0000
3.0299 0.0000 4.3224
0.0000 3.7784 1.9874
0.0000 1.9738 6.3098
```

Values from the calculation:
Raw total energy (eV/cell): -45.73

Density functional theory data (PBE) for an optimized crystal structure of CsZr4S8.

```
CsZr4S8
1.0
3.6644 2.1157 8.6457
-3.6644 2.1157 8.6457
0.0000 -4.2313 8.6457
Cs Zr S
1 4 8
Cartesian
0.0000 0.0000 0.0000
-3.6644 0.0000 12.9686
-1.8322 1.0578 4.3229
1.8322 1.0578 4.3229
0.0000 0.0000 12.9686
0.0000 0.0000 5.8087
-1.8255 -1.0540 14.4623
0.0000 -2.1080 11.4749
-1.8256 1.0540 11.4749
1.8256 -1.0540 14.4623
0.0000 2.1080 14.4623
1.8256 1.0540 11.4749
0.0000 0.0000 20.1285
```

Values from the calculation:
Raw total energy (eV/cell): -88.87

Please write out number 1 again, unchanged.
Density functional theory data (PBE) for an optimized crystal structure of CsZrS2.

```
CsZrS2
1.0
-3.0299 3.7784 6.3098
3.0299 -3.7784 6.3098
3.0299 3.7784 -6.3098
Cs Zr S
2 2 4
Cartesian
0.0000 0.0000 2.1889
0.0000 0.0000 10.4307
1.5180 3.7784 0.0000
1.5119 0.0000 6.3098
3.0299 1.8046 0.0000
3.0299 0.0000 4.3224
0.0000 3.7784 1.9874
0.0000 1.9738 6.3098
```

Values from the calculation:
Raw total energy (eV/cell): -45.73